1.
Here is a PBEsol-optimized structure of TlTc3As from the Alexandria database. Energies are from meta-GGA SCAN.

Lattice parameters (Å, degrees): 4.977 4.977 4.977 90.00 90.00 90.00
Positions (direct):
1 As 0.500 0.500 0.500
2 Tl 0.000 0.000 0.000
3 Tc 0.000 0.500 0.000
4 Tc 0.000 0.000 0.500
5 Tc 0.500 0.000 0.000

Values from the calculation:
DFT formation energy = 2.48 eV/atom
SG = Pm-3m, No. 221


2.
Here is a PBEsol-optimized structure of Tc5Rh from the Alexandria database. Energies are from meta-GGA SCAN.

Lattice parameters (Å, degrees): 2.707 5.102 6.407 103.24 90.00 105.38
Positions (direct):
1 Rh 0.000 0.999 0.001
2 Tc 0.390 0.779 0.279
3 Tc 0.666 0.331 0.332
4 Tc 0.055 0.111 0.613
5 Tc 0.334 0.668 0.663
6 Tc 0.722 0.445 0.945

Values from the calculation:
polymorph energy (0 for the lowest one) = 0.0085 eV per atom
DFT formation energy = -0.09 eV/atom
SG = Cm, No. 8


3.
Here is a PBEsol-optimized structure of Zr3Ta4 from the Alexandria database. Energies are from meta-GGA SCAN.

Lattice parameters (Å, degrees): 3.339 3.339 12.479 97.69 97.69 90.00
Positions (direct):
1 Zr 0.000 0.000 0.000
2 Zr 0.292 0.292 0.584
3 Zr 0.708 0.708 0.416
4 Ta 0.134 0.134 0.269
5 Ta 0.425 0.425 0.849
6 Ta 0.575 0.575 0.151
7 Ta 0.866 0.866 0.731

Values from the calculation:
DFT formation energy = 0.08 eV/atom
SG = I4/mmm, No. 139


4.
Here is a PBEsol-optimized structure of BaMg5 from the Alexandria database. Energies are from meta-GGA SCAN.

Lattice parameters (Å, degrees): 3.633 3.633 12.345 90.00 90.00 90.00
Positions (direct):
1 Mg 0.000 0.000 0.715
2 Mg 0.500 0.500 0.857
3 Mg 0.000 0.000 0.000
4 Mg 0.500 0.500 0.143
5 Mg 0.000 0.000 0.285
6 Ba 0.500 0.500 0.500

Values from the calculation:
DFT formation energy = 0.03 eV/atom
SG = P4/mmm, No. 123


5.
Here is a PBEsol-optimized structure of Zr2TlOs from the Alexandria database. Energies are from meta-GGA SCAN.

Lattice parameters (Å, degrees): 3.517 4.678 4.678 90.00 90.00 90.00
Positions (direct):
1 Os 0.500 0.500 0.500
2 Tl 0.500 0.000 0.000
3 Zr 0.000 0.000 0.500
4 Zr 0.000 0.500 0.000

Values from the calculation:
polymorph energy (0 for the lowest one) = 0.2119 eV per atom
DFT formation energy = -0.23 eV/atom
SG = P4/mmm, No. 123


6.
Here is a PBEsol-optimized structure of Cu2Pt from the Alexandria database. Energies are from meta-GGA SCAN.

Lattice parameters (Å, degrees): 3.745 5.198 7.794 90.00 90.00 90.00
Positions (direct):
1 Cu 0.750 0.888 0.749
2 Cu 0.750 0.872 0.418
3 Cu 0.250 0.628 0.918
4 Cu 0.250 0.612 0.249
5 Cu 0.750 0.388 0.751
6 Cu 0.750 0.372 0.082
7 Cu 0.250 0.128 0.582
8 Cu 0.250 0.112 0.251
9 Pt 0.750 0.864 0.088
10 Pt 0.250 0.636 0.588
11 Pt 0.750 0.364 0.412
12 Pt 0.250 0.136 0.912

Values from the calculation:
polymorph energy (0 for the lowest one) = 0.0063 eV per atom
DFT formation energy = -0.16 eV/atom
SG = Pnma, No. 62


7.
Here is a PBEsol-optimized structure of KFe3Mo from the Alexandria database. Energies are from meta-GGA SCAN.

Lattice parameters (Å, degrees): 4.574 4.574 4.574 90.00 90.00 90.00
Positions (direct):
1 K 0.500 0.500 0.500
2 Mo 0.000 0.000 0.000
3 Fe 0.000 0.500 0.000
4 Fe 0.000 0.000 0.500
5 Fe 0.500 0.000 0.000

Values from the calculation:
DFT formation energy = 1.44 eV/atom
SG = Pm-3m, No. 221


8.
Here is a PBEsol-optimized structure of Ni4B3 from the Alexandria database. Energies are from meta-GGA SCAN.

Lattice parameters (Å, degrees): 3.973 3.973 7.751 80.55 80.55 74.78
Positions (direct):
1 Ni 0.776 0.632 0.710
2 Ni 0.368 0.224 0.790
3 Ni 0.797 0.292 0.009
4 Ni 0.632 0.776 0.210
5 Ni 0.292 0.797 0.509
6 Ni 0.203 0.708 0.991
7 Ni 0.708 0.203 0.491
8 Ni 0.224 0.368 0.290
9 B 0.159 0.311 0.559
10 B 0.311 0.159 0.059
11 B 0.689 0.841 0.941
12 B 0.074 0.926 0.250
13 B 0.841 0.689 0.441
14 B 0.926 0.074 0.750

Values from the calculation:
polymorph energy (0 for the lowest one) = 0.0136 eV per atom
DFT formation energy = -0.28 eV/atom
SG = C2/c, No. 15


9.
Here is a PBEsol-optimized structure of SrSb2 from the Alexandria database. Energies are from meta-GGA SCAN.

Lattice parameters (Å, degrees): 4.039 6.142 8.005 92.63 90.00 109.20
Positions (direct):
1 Sb 0.820 0.641 0.896
2 Sb 0.150 0.300 0.469
3 Sb 0.180 0.359 0.104
4 Sb 0.850 0.700 0.531
5 Sr 0.450 0.900 0.228
6 Sr 0.550 0.100 0.772

Values from the calculation:
ΔE_f (raw) = -0.548 eV/atom
SG = C2/m, No. 12


10.
Here is a PBEsol-optimized structure of KZr2Rh from the Alexandria database. Energies are from meta-GGA SCAN.

Lattice parameters (Å, degrees): 4.050 4.054 8.898 102.96 90.00 119.97
Positions (direct):
1 K 0.000 0.000 0.500
2 Rh 0.500 0.000 0.000
3 Zr 0.791 0.582 0.871
4 Zr 0.209 0.418 0.129

Values from the calculation:
polymorph energy (0 for the lowest one) = 0.0000 eV per atom
DFT formation energy = 0.03 eV/atom
SG = C2/m, No. 12


11.
Here is a PBEsol-optimized structure of CrCoIr3 from the Alexandria database. Energies are from meta-GGA SCAN.

Lattice parameters (Å, degrees): 4.384 4.384 4.384 90.00 90.00 90.00
Positions (direct):
1 Cr 0.000 0.000 0.000
2 Ir 0.000 0.500 0.000
3 Ir 0.000 0.000 0.500
4 Ir 0.500 0.000 0.000
5 Co 0.500 0.500 0.500

Values from the calculation:
DFT formation energy = 1.51 eV/atom
SG = Pm-3m, No. 221


12.
Here is a PBEsol-optimized structure of YTaPb2 from the Alexandria database. Energies are from meta-GGA SCAN.

Lattice parameters (Å, degrees): 5.084 5.084 5.084 60.00 60.00 60.00
Positions (direct):
1 Pb 0.250 0.250 0.250
2 Pb 0.750 0.750 0.750
3 Ta 0.000 0.000 0.000
4 Y 0.500 0.500 0.500

Values from the calculation:
DFT formation energy = 0.13 eV/atom
SG = Fm-3m, No. 225


13.
Here is a PBEsol-optimized structure of YTe2PbI from the Alexandria database. Energies are from meta-GGA SCAN.

Lattice parameters (Å, degrees): 5.688 5.818 5.818 90.00 90.00 90.00
Positions (direct):
1 Pb 0.500 0.500 0.500
2 I 0.500 0.000 0.000
3 Te 0.000 0.000 0.500
4 Te 0.000 0.500 0.000
5 Y 0.000 0.000 0.000

Values from the calculation:
ΔE_f (raw) = -0.549 eV/atom
SG = P4/mmm, No. 123


14.
Here is a PBEsol-optimized structure of ZrSnTe from the Alexandria database. Energies are from meta-GGA SCAN.

Lattice parameters (Å, degrees): 4.042 4.042 8.665 90.00 90.00 90.00
Positions (direct):
1 Te 0.500 0.000 0.618
2 Te 0.000 0.500 0.382
3 Sn 0.000 0.000 0.000
4 Sn 0.500 0.500 0.000
5 Zr 0.500 0.000 0.264
6 Zr 0.000 0.500 0.736

Values from the calculation:
ΔE_f (raw) = -0.772 eV/atom
SG = P4/nmm, No. 129


15.
Here is a PBEsol-optimized structure of Sb2TeWBr from the Alexandria database. Energies are from meta-GGA SCAN.

Lattice parameters (Å, degrees): 5.137 5.231 5.231 90.00 90.00 90.00
Positions (direct):
1 Sb 0.000 0.000 0.500
2 Sb 0.000 0.500 0.000
3 Te 0.500 0.000 0.000
4 Br 0.500 0.500 0.500
5 W 0.000 0.000 0.000

Values from the calculation:
ΔE_f (raw) = 0.412 eV/atom
SG = P4/mmm, No. 123


16.
Here is a PBEsol-optimized structure of TiGa2AgRu from the Alexandria database. Energies are from meta-GGA SCAN.

Lattice parameters (Å, degrees): 4.521 4.521 4.984 90.00 90.00 90.00
Positions (direct):
1 Ru 0.000 0.000 0.500
2 Ga 0.000 0.500 0.000
3 Ga 0.500 0.000 0.000
4 Ag 0.000 0.000 0.000
5 Ti 0.500 0.500 0.500

Values from the calculation:
DFT formation energy = 1.05 eV/atom
SG = P4/mmm, No. 123


17.
Here is a PBEsol-optimized structure of SrLa2Pt from the Alexandria database. Energies are from meta-GGA SCAN.

Lattice parameters (Å, degrees): 4.168 4.168 10.297 78.32 78.32 60.00
Positions (direct):
1 Sr 0.000 0.000 0.000
2 Pt 0.500 0.500 0.500
3 La 0.220 0.220 0.340
4 La 0.780 0.780 0.660

Values from the calculation:
polymorph energy (0 for the lowest one) = 0.0000 eV per atom
DFT formation energy = -0.69 eV/atom
SG = R-3m, No. 166


18.
Here is a PBEsol-optimized structure of OsC2 from the Alexandria database. Energies are from meta-GGA SCAN.

Lattice parameters (Å, degrees): 2.763 4.988 4.988 90.00 90.00 90.00
Positions (direct):
1 C 0.000 0.790 0.790
2 C 0.000 0.210 0.210
3 C 0.500 0.710 0.290
4 C 0.500 0.290 0.710
5 Os 0.000 0.500 0.500
6 Os 0.500 0.000 0.000

Values from the calculation:
polymorph energy (0 for the lowest one) = 0.4440 eV per atom
DFT formation energy = 1.40 eV/atom
SG = P4_2/mnm, No. 136


19.
Here is a PBEsol-optimized structure of NdTlAg2 from the Alexandria database. Energies are from meta-GGA SCAN.

Lattice parameters (Å, degrees): 4.975 4.975 4.975 60.00 60.00 60.00
Positions (direct):
1 Tl 0.000 0.000 0.000
2 Nd 0.500 0.500 0.500
3 Ag 0.750 0.750 0.750
4 Ag 0.250 0.250 0.250

Values from the calculation:
DFT formation energy = -0.31 eV/atom
SG = Fm-3m, No. 225


20.
Here is a PBEsol-optimized structure of YCoTc2 from the Alexandria database. Energies are from meta-GGA SCAN.

Lattice parameters (Å, degrees): 4.432 4.432 4.432 60.00 60.00 60.00
Positions (direct):
1 Co 0.500 0.500 0.500
2 Tc 0.000 0.000 0.000
3 Tc 0.250 0.250 0.250
4 Y 0.750 0.750 0.750

Values from the calculation:
polymorph energy (0 for the lowest one) = 0.0000 eV per atom
DFT formation energy = 0.12 eV/atom
SG = F-43m, No. 216


21.
Here is a PBEsol-optimized structure of TlRuW from the Alexandria database. Energies are from meta-GGA SCAN.

Lattice parameters (Å, degrees): 2.946 2.946 6.234 103.67 103.67 90.00
Positions (direct):
1 Ru 0.983 0.983 0.965
2 Tl 0.664 0.664 0.327
3 W 0.354 0.354 0.707

Values from the calculation:
polymorph energy (0 for the lowest one) = 0.0000 eV per atom
DFT formation energy = 0.49 eV/atom
SG = I4mm, No. 107


22.
Here is a PBEsol-optimized structure of MnBeCuH2 from the Alexandria database. Energies are from meta-GGA SCAN.

Lattice parameters (Å, degrees): 3.157 3.157 4.963 90.00 90.00 90.00
Positions (direct):
1 Be 0.500 0.500 0.500
2 Mn 0.000 0.000 0.500
3 Cu 0.000 0.000 0.000
4 H 0.000 0.500 0.000
5 H 0.500 0.000 0.000

Values from the calculation:
E = -41.43 eV for the cell shown
SG = P4/mmm, No. 123


23.
Here is a PBEsol-optimized structure of Co2HgOsPb from the Alexandria database. Energies are from meta-GGA SCAN.

Lattice parameters (Å, degrees): 4.649 4.649 4.989 90.00 90.00 90.00
Positions (direct):
1 Pb 0.000 0.000 0.000
2 Co 0.000 0.500 0.000
3 Co 0.500 0.000 0.000
4 Os 0.000 0.000 0.500
5 Hg 0.500 0.500 0.500

Values from the calculation:
DFT formation energy = 1.96 eV/atom
SG = P4/mmm, No. 123


24.
Here is a PBEsol-optimized structure of CuAgPt2 from the Alexandria database. Energies are from meta-GGA SCAN.

Lattice parameters (Å, degrees): 2.733 2.733 9.101 81.36 81.36 60.00
Positions (direct):
1 Pt 0.005 0.005 0.985
2 Pt 0.250 0.250 0.249
3 Ag 0.496 0.496 0.513
4 Cu 0.749 0.749 0.753

Values from the calculation:
polymorph energy (0 for the lowest one) = 0.0991 eV per atom
DFT formation energy = -0.02 eV/atom
SG = R3m, No. 160


25.
Here is a PBEsol-optimized structure of Li5SbS from the Alexandria database. Energies are from meta-GGA SCAN.

Lattice parameters (Å, degrees): 4.259 4.259 6.323 90.00 90.00 90.00
Positions (direct):
1 Sb 0.500 0.500 0.500
2 S 0.000 0.000 0.000
3 Li 0.000 0.000 0.500
4 Li 0.000 0.500 0.213
5 Li 0.000 0.500 0.787
6 Li 0.500 0.000 0.787
7 Li 0.500 0.000 0.213

Values from the calculation:
ΔE_f (raw) = -0.983 eV/atom
polymorph energy (0 for the lowest one) = 0.0034 eV per atom
SG = P4/mmm, No. 123


26.
Here is a PBEsol-optimized structure of SrTl2Ru from the Alexandria database. Energies are from meta-GGA SCAN.

Lattice parameters (Å, degrees): 4.660 5.286 4.660 63.85 90.00 116.15
Positions (direct):
1 Ru 0.500 0.000 0.500
2 Sr 0.000 0.000 0.000
3 Tl 0.250 0.500 0.250
4 Tl 0.750 0.500 0.750

Values from the calculation:
DFT formation energy = 0.20 eV/atom
SG = I4/mmm, No. 139


27.
Here is a PBEsol-optimized structure of MnSiMo3 from the Alexandria database. Energies are from meta-GGA SCAN.

Lattice parameters (Å, degrees): 4.366 4.366 4.366 90.00 90.00 90.00
Positions (direct):
1 Mo 0.000 0.500 0.000
2 Mo 0.000 0.000 0.500
3 Mo 0.500 0.000 0.000
4 Mn 0.000 0.000 0.000
5 Si 0.500 0.500 0.500

Values from the calculation:
ΔE_f (raw) = 1.225 eV/atom
SG = Pm-3m, No. 221


28.
Here is a PBEsol-optimized structure of LiCu4Au from the Alexandria database. Energies are from meta-GGA SCAN.

Lattice parameters (Å, degrees): 4.790 4.790 4.790 60.00 60.00 60.00
Positions (direct):
1 Au 0.000 0.000 0.000
2 Cu 0.625 0.625 0.125
3 Cu 0.125 0.625 0.625
4 Cu 0.625 0.125 0.625
5 Cu 0.625 0.625 0.625
6 Li 0.250 0.250 0.250

Values from the calculation:
DFT formation energy = -0.11 eV/atom
SG = F-43m, No. 216